Compound: ZrP2H2O8
Source: the Alexandria database
Functional: GGA-PBEsol
Structure: optimized geometry

Properties
DFT total energy ... -7.624 eV per atom
Crystal system ... tetragonal

abc: 9.657 9.657 9.657
angles: 108.02 108.02 112.42
Fractional coordinates of all 52 atoms:
Zr 0.000 0.000 0.000
Zr 0.250 0.750 0.500
Zr 0.500 0.500 0.000
Zr 0.750 0.250 0.500
P 0.044 0.305 0.343
P 0.055 0.212 0.762
P 0.450 0.294 0.238
P 0.462 0.805 0.262
P 0.544 0.200 0.738
P 0.555 0.794 0.843
P 0.950 0.712 0.157
P 0.962 0.700 0.657
H 0.085 0.635 0.034
H 0.101 0.135 0.550
H 0.301 0.351 0.466
H 0.385 0.851 0.050
H 0.585 0.551 0.450
H 0.601 0.051 0.966
H 0.801 0.335 0.950
H 0.885 0.835 0.534
O 0.003 0.110 0.849
O 0.015 0.816 0.836
O 0.048 0.080 0.607
O 0.066 0.765 0.336
O 0.112 0.486 0.367
O 0.119 0.745 0.633
O 0.191 0.298 0.468
O 0.236 0.369 0.874
O 0.262 0.155 0.151
O 0.330 0.798 0.107
O 0.360 0.753 0.349
O 0.405 0.012 0.651
O 0.429 0.730 0.664
O 0.474 0.441 0.393
O 0.480 0.316 0.801
O 0.495 0.362 0.126
O 0.503 0.655 0.893
O 0.515 0.679 0.199
O 0.548 0.941 0.968
O 0.566 0.230 0.301
O 0.612 0.245 0.626
O 0.619 0.986 0.374
O 0.691 0.224 0.893
O 0.736 0.862 0.867
O 0.762 0.610 0.107
O 0.830 0.724 0.532
O 0.860 0.512 0.607
O 0.905 0.253 0.393
O 0.929 0.265 0.699
O 0.974 0.580 0.032
O 0.980 0.179 0.164
O 0.995 0.869 0.133